Here is an optimized crystal structure of HfAl from Alexandria. Energies are from PBE.

```
HfAl
1.0
1.627 -5.443 0.000
1.627 5.443 0.000
0.000 0.000 4.288
Hf Al
2 2
direct
0.164 0.836 0.750
0.836 0.164 0.250
0.430 0.570 0.750
0.570 0.430 0.250
```

Properties
- Energy relative to the elements: -0.41 eV per atom
- D(E_F): 1.787 states/eV/cell
- V: 76.0 Å³ per cell
- Space group: Cmcm